The following is a DFT calculation (GGA-PBEsol) of crystalline ReMoIr2 at its relaxed geometry.

Cell and atoms, written as POSCAR:
```
ReMoIr2
1.0
6.171 0.000 0.000
0.000 6.171 0.000
0.000 0.000 6.171
Re Mo Ir
4 4 8
Direct
0.000 0.000 0.000
0.000 0.500 0.500
0.500 0.000 0.500
0.500 0.500 0.000
0.250 0.250 0.750
0.250 0.750 0.250
0.750 0.250 0.250
0.750 0.750 0.750
0.000 0.000 0.500
0.000 0.500 0.000
0.250 0.250 0.250
0.250 0.750 0.750
0.500 0.000 0.000
0.500 0.500 0.500
0.750 0.250 0.750
0.750 0.750 0.250
```

Computed properties:
Raw total energy, eV/atom: -10.926
Volume, Å³/atom: 14.69
Distance to the lowest polymorph of the same formula, meV per atom: 609
Size of the total moment, μB/f.u.: 0.0
Space group: F-43m (216)
Density of states at the Fermi level, states/eV per cell: 13.76